(1)
VASP calculation (PBE) on crystalline In4HgPd7 at its relaxed geometry.

The structure belongs to space group C2/m (No. 12); the cell edges are 11.136, 5.033 and 9.669 Å and the angles 90.00°, 121.15° and 90.00°. The distinct sites, in fractional coordinates, are In at (0.088, 0.000, 0.276), In at (0.247, 0.000, 0.832), Hg at (0.000, 0.500, 0.500), Pd at (0.000, 0.000, 0.500), Pd at (0.073, 0.500, 0.834), Pd at (0.139, 0.000, 0.030) and Pd at (0.207, 0.500, 0.410).

=====

(2)
VASP calculation (PBE) on crystalline In2HgPd5 at its relaxed geometry.

The structure belongs to space group I4/mmm (No. 139); the cell edges are 4.791, 4.791 and 12.052 Å and the angles 90.00°, 90.00° and 90.00°. The distinct sites, in fractional coordinates, are In at (0.000, 0.000, 0.242), Hg at (0.000, 0.000, 0.500), Pd at (0.000, 0.000, 0.000) and Pd at (0.000, 0.500, 0.128).

=====

(3)
VASP calculation (PBE) on crystalline In2Hg2Pd at its relaxed geometry.

The structure belongs to space group P4/mbm (No. 127); the cell edges are 7.242, 7.242 and 4.609 Å and the angles 90.00°, 90.00° and 90.00°. The distinct sites, in fractional coordinates, are In at (0.158, 0.342, 0.000), Hg at (0.159, 0.659, 0.500) and Pd at (0.000, 0.000, 0.000).

The calculation puts the relative energy among the computed polymorphs at 0.000 eV/atom.

=====

(4)
VASP calculation (PBE) on crystalline InHg2Pd4 at its relaxed geometry.

The structure belongs to space group I4/mmm (No. 139); the cell edges are 6.003, 6.003 and 7.466 Å and the angles 90.00°, 90.00° and 90.00°. The distinct sites, in fractional coordinates, are In at (0.000, 0.000, 0.000), Hg at (0.000, 0.500, 0.000) and Pd at (0.250, 0.250, 0.250).

=====

no.,density of states at the Fermi level (states/eV per atom),magnetic moment (μB/f.u.),energy relative to the elements (eV per atom)
1,0.35,0.00,-0.29
2,0.34,0.00,-0.37
3,0.39,0.00,0.00
4,0.31,0.00,-0.16